1.
First-principles (PBE-GGA) data for crystalline Ce2LuHf at its relaxed geometry, as listed in Alexandria.

Volume ... 27.3 Å³/atom
Mass density ... 9.62 g/cm³
ΔE to the lowest computed polymorph ... 123 meV per atom
N(E_F) ... 11.55 states/eV/cell
Formation energy from the elements ... 255 meV/atom
Magnetization ... 0.283 μB per atom

abc: 5.368 5.368 5.368
angles: 60.00 60.00 60.00
Sites, in units of the cell vectors:
1 Ce 0.250 0.250 0.250
2 Ce 0.750 0.750 0.750
3 Lu 0.000 0.000 0.000
4 Hf 0.500 0.500 0.500

2.
First-principles (PBE-GGA) data for crystalline Ba2AsHPd at its relaxed geometry, as listed in Alexandria.

Volume ... 25.3 Å³/atom
Mass density ... 6.00 g/cm³
ΔE to the lowest computed polymorph ... 123 meV per atom
N(E_F) ... 2.05 states/eV/cell
Magnetization ... 0.000 μB per atom

abc: 5.776 5.776 3.793
angles: 90.00 90.00 90.00
Sites, in units of the cell vectors:
1 Ba 0.000 0.500 0.000
2 Ba 0.500 0.000 0.000
3 As 0.000 0.000 0.500
4 H 0.500 0.500 0.000
5 Pd 0.500 0.500 0.500